*1*
Density functional theory data (PBE) for Hf2TlI8 after structural relaxation.

Unit cell a=5.7982 b=10.3714 c=10.3732 alpha=120.00 beta=90.00 gamma=90.00
Last column: magnetic moment on the atom in μB.
Element x y z (fractional)
I 0.2490 0.6666 0.3333  -0.01
I 0.7510 0.3334 0.6667  -0.01
I 0.7379 0.8181 0.1800  0.00
I 0.2620 0.1801 0.3620  0.00
I 0.2621 0.6380 0.8181  0.00
I 0.2621 0.1819 0.8199  0.00
I 0.7380 0.8199 0.6379  0.00
I 0.7379 0.3620 0.1819  0.00
Tl 0.0000 0.0000 0.0000  0.01
Hf 0.2388 0.3334 0.6667  0.32
Hf 0.7612 0.6666 0.3333  0.32

Calculated values
V = 540 Å³ per cell
symmetry = P-3 (147)
DOS at the Fermi energy = 4.6 states/eV per cell

---

*2*
Density functional theory data (PBE) for Hf2TlI8 after structural relaxation.

Unit cell a=7.8141 b=9.5571 c=9.5571 alpha=72.33 beta=82.17 gamma=82.17
Last column: magnetic moment on the atom in μB.
Element x y z (fractional)
Hf 0.6607 0.7988 0.7988  0.35
Hf 0.3393 0.2012 0.2012  0.35
Tl 0.0000 0.0000 0.0000  0.02
I 0.2462 0.3090 0.9214  0.00
I 0.7538 0.0786 0.6910  0.00
I 0.3130 0.8016 0.8016  -0.01
I 0.6870 0.1984 0.1984  -0.01
I 0.2462 0.9214 0.3090  0.00
I 0.7538 0.6910 0.0786  0.00
I 0.8296 0.6319 0.6319  0.00
I 0.1704 0.3681 0.3681  0.00

Calculated values
V = 670 Å³ per cell
symmetry = C2/m (12)
DOS at the Fermi energy = 7.9 states/eV per cell

---

*2* is the most stable structure; the next one sits 0.051 eV/atom above it.

---

*1*
Density functional theory data (PBE) for HfV2I after structural relaxation.

Unit cell a=4.0506 b=4.0506 c=9.8810 alpha=78.17 beta=78.17 gamma=90.00
Element x y z (fractional)
I 0.5000 0.5000 0.0000
I 0.2500 0.7500 0.5000
Hf 0.0000 0.0000 0.0000
Hf 0.7500 0.2500 0.5000
V 0.6008 0.1250 0.2500
V 0.1492 0.6250 0.2500
V 0.3750 0.3992 0.7500
V 0.8750 0.8508 0.7500

Calculated values
V = 155 Å³ per cell
symmetry = I-42d (122)
DOS at the Fermi energy = 5.6 states/eV per cell

---

*2*
Density functional theory data (PBE) for HfV2I after structural relaxation.

Unit cell a=4.6250 b=4.6250 c=4.6250 alpha=60.00 beta=60.00 gamma=60.00
Last column: magnetic moment on the atom in μB.
Element x y z (fractional)
I 0.0000 0.0000 0.0000  -0.01
Hf 0.5000 0.5000 0.5000  -0.01
V 0.2500 0.2500 0.2500  0.90
V 0.7500 0.7500 0.7500  0.90

Calculated values
V = 70 Å³ per cell
symmetry = Fm-3m (225)
DOS at the Fermi energy = 4.2 states/eV per cell

---

*2* is the most stable structure; the next one sits 0.159 eV/atom above it.

---

*1*
Density functional theory data (PBE) for Hf3VI after structural relaxation.

Unit cell a=4.9681 b=4.9681 c=4.9681 alpha=90.00 beta=90.00 gamma=90.00
Last column: magnetic moment on the atom in μB.
Element x y z (fractional)
I 0.5000 0.5000 0.5000  0.00
Hf 0.0000 0.5000 0.0000  0.10
Hf 0.0000 0.0000 0.5000  0.10
Hf 0.5000 0.0000 0.0000  0.10
V 0.0000 0.0000 0.0000  0.11

Calculated values
V = 123 Å³ per cell
symmetry = Pm-3m (221)
DOS at the Fermi energy = 9.0 states/eV per cell

---

*2*
Density functional theory data (PBE) for Hf3VI after structural relaxation.

Unit cell a=5.1552 b=5.1552 c=5.1552 alpha=90.00 beta=90.00 gamma=90.00
Last column: magnetic moment on the atom in μB.
Element x y z (fractional)
I 0.0000 0.0000 0.0000  -0.01
Hf 0.0000 0.5000 0.0000  -0.09
Hf 0.0000 0.0000 0.5000  -0.09
Hf 0.5000 0.0000 0.0000  -0.09
V 0.5000 0.5000 0.5000  2.64

Calculated values
V = 137 Å³ per cell
symmetry = Pm-3m (221)
DOS at the Fermi energy = 6.2 states/eV per cell

---

*1* is the most stable structure; the next one sits 0.673 eV/atom above it.

---

*1*
Density functional theory data (PBE) for HfV3I after structural relaxation.

Unit cell a=4.7153 b=4.7153 c=4.7153 alpha=90.00 beta=90.00 gamma=90.00
Element x y z (fractional)
I 0.0000 0.0000 0.0000
Hf 0.5000 0.5000 0.5000
V 0.0000 0.5000 0.0000
V 0.0000 0.0000 0.5000
V 0.5000 0.0000 0.0000

Calculated values
V = 105 Å³ per cell
symmetry = Pm-3m (221)
DOS at the Fermi energy = 6.7 states/eV per cell

---

*2*
Density functional theory data (PBE) for HfV3I after structural relaxation.

Unit cell a=4.7885 b=4.7885 c=4.7885 alpha=90.00 beta=90.00 gamma=90.00
Element x y z (fractional)
I 0.5000 0.5000 0.5000
Hf 0.0000 0.0000 0.0000
V 0.0000 0.5000 0.0000
V 0.0000 0.0000 0.5000
V 0.5000 0.0000 0.0000

Calculated values
V = 110 Å³ per cell
symmetry = Pm-3m (221)
DOS at the Fermi energy = 7.0 states/eV per cell

---

*1* is the most stable structure; the next one sits 0.346 eV/atom above it.

---

*1*
Density functional theory data (PBE) for HfWI2 after structural relaxation.

Unit cell a=6.5610 b=6.5610 c=7.2637 alpha=63.15 beta=63.15 gamma=90.00
Last column: magnetic moment on the atom in μB.
Element x y z (fractional)
I 0.6488 0.1250 0.2500  0.01
I 0.1012 0.6250 0.2500  0.01
I 0.3750 0.3512 0.7500  0.00
I 0.8750 0.8988 0.7500  0.01
Hf 0.5000 0.5000 0.0000  0.23
Hf 0.2500 0.7500 0.5000  0.23
W 0.0000 0.0000 0.0000  0.07
W 0.7500 0.2500 0.5000  0.07

Calculated values
V = 241 Å³ per cell
symmetry = I-42d (122)
DOS at the Fermi energy = 9.5 states/eV per cell

---

*2*
Density functional theory data (PBE) for HfWI2 after structural relaxation.

Unit cell a=4.9082 b=4.9082 c=4.9082 alpha=60.00 beta=60.00 gamma=60.00
Last column: magnetic moment on the atom in μB.
Element x y z (fractional)
I 0.2500 0.2500 0.2500  0.00
I 0.7500 0.7500 0.7500  0.00
Hf 0.0000 0.0000 0.0000  0.02
W 0.5000 0.5000 0.5000  0.16

Calculated values
V = 84 Å³ per cell
symmetry = Fm-3m (225)
DOS at the Fermi energy = 5.7 states/eV per cell

---

*2* is the most stable structure; the next one sits 0.485 eV/atom above it.

---

*1*
Density functional theory data (PBE) for Hf3WI after structural relaxation.

Unit cell a=5.0693 b=5.0693 c=5.0693 alpha=90.00 beta=90.00 gamma=90.00
Last column: magnetic moment on the atom in μB.
Element x y z (fractional)
I 0.0000 0.0000 0.0000  -0.01
Hf 0.0000 0.5000 0.0000  -0.08
Hf 0.0000 0.0000 0.5000  -0.11
Hf 0.5000 0.0000 0.0000  -0.13
W 0.5000 0.5000 0.5000  1.43

Calculated values
V = 130 Å³ per cell
symmetry = Pm-3m (221)
DOS at the Fermi energy = 4.0 states/eV per cell

---

*2*
Density functional theory data (PBE) for Hf3WI after structural relaxation.

Unit cell a=5.1476 b=5.1476 c=5.1476 alpha=90.00 beta=90.00 gamma=90.00
Element x y z (fractional)
I 0.5000 0.5000 0.5000
Hf 0.0000 0.5000 0.0000
Hf 0.0000 0.0000 0.5000
Hf 0.5000 0.0000 0.0000
W 0.0000 0.0000 0.0000

Calculated values
V = 136 Å³ per cell
symmetry = Pm-3m (221)
DOS at the Fermi energy = 9.1 states/eV per cell

---

*2* is the most stable structure; the next one sits 0.898 eV/atom above it.

---

*1*
Density functional theory data (PBE) for HfW3I after structural relaxation.

Unit cell a=4.9165 b=4.9165 c=4.9165 alpha=90.00 beta=90.00 gamma=90.00
Element x y z (fractional)
I 0.5000 0.5000 0.5000
Hf 0.0000 0.0000 0.0000
W 0.0000 0.5000 0.0000
W 0.0000 0.0000 0.5000
W 0.5000 0.0000 0.0000

Calculated values
V = 119 Å³ per cell
symmetry = Pm-3m (221)
DOS at the Fermi energy = 7.8 states/eV per cell

---

*2*
Density functional theory data (PBE) for HfW3I after structural relaxation.

Unit cell a=4.8311 b=4.8311 c=4.8311 alpha=90.00 beta=90.00 gamma=90.00
Element x y z (fractional)
I 0.0000 0.0000 0.0000
Hf 0.5000 0.5000 0.5000
W 0.0000 0.5000 0.0000
W 0.0000 0.0000 0.5000
W 0.5000 0.0000 0.0000

Calculated values
V = 113 Å³ per cell
symmetry = Pm-3m (221)
DOS at the Fermi energy = 9.3 states/eV per cell

---

*2* is the most stable structure; the next one sits 0.286 eV/atom above it.

---

*1*
Density functional theory data (PBE) for Y2HfI2 after structural relaxation.

Unit cell a=8.5160 b=8.5160 c=3.6966 alpha=90.00 beta=90.00 gamma=90.00
Element x y z (fractional)
I 0.3569 0.8569 0.0000
I 0.8569 0.6431 0.0000
I 0.6431 0.1431 0.0000
I 0.1431 0.3569 0.0000
Y 0.1604 0.6604 0.5000
Y 0.6604 0.8396 0.5000
Y 0.8396 0.3396 0.5000
Y 0.3396 0.1604 0.5000
Hf 0.0000 0.0000 0.0000
Hf 0.5000 0.5000 0.0000

Calculated values
V = 268 Å³ per cell
symmetry = P4/mbm (127)
DOS at the Fermi energy = 8.3 states/eV per cell

---

*2*
Density functional theory data (PBE) for Y2HfI2 after structural relaxation.

Unit cell a=4.9774 b=4.9774 c=7.4921 alpha=70.60 beta=70.60 gamma=90.00
Element x y z (fractional)
I 0.3770 0.3770 0.2459
I 0.6230 0.6230 0.7541
Y 0.7500 0.2500 0.5000
Y 0.2500 0.7500 0.5000
Hf 0.0000 0.0000 0.0000

Calculated values
V = 164 Å³ per cell
symmetry = I4/mmm (139)
DOS at the Fermi energy = 10.1 states/eV per cell

---

*1* is the most stable structure; the next one sits 0.557 eV/atom above it.

---

*1*
Density functional theory data (PBE) for YHf3I after structural relaxation.

Unit cell a=5.3300 b=5.3300 c=5.3300 alpha=90.00 beta=90.00 gamma=90.00
Element x y z (fractional)
I 0.5000 0.5000 0.5000
Y 0.0000 0.0000 0.0000
Hf 0.0000 0.5000 0.0000
Hf 0.0000 0.0000 0.5000
Hf 0.5000 0.0000 0.0000

Calculated values
V = 151 Å³ per cell
symmetry = Pm-3m (221)
DOS at the Fermi energy = 9.0 states/eV per cell

---

*2*
Density functional theory data (PBE) for YHf3I after structural relaxation.

Unit cell a=5.2400 b=5.2400 c=5.2400 alpha=90.00 beta=90.00 gamma=90.00
Element x y z (fractional)
I 0.0000 0.0000 0.0000
Y 0.5000 0.5000 0.5000
Hf 0.0000 0.5000 0.0000
Hf 0.0000 0.0000 0.5000
Hf 0.5000 0.0000 0.0000

Calculated values
V = 144 Å³ per cell
symmetry = Pm-3m (221)
DOS at the Fermi energy = 7.4 states/eV per cell

---

*2* is the most stable structure; the next one sits 0.781 eV/atom above it.

---

*1*
Density functional theory data (PBE) for HfZnI2 after structural relaxation.

Unit cell a=10.4050 b=10.4050 c=7.8724 alpha=48.64 beta=48.64 gamma=90.00
Last column: magnetic moment on the atom in μB.
Element x y z (fractional)
I 0.7803 0.1250 0.2500  -0.01
I 0.9697 0.6250 0.2500  -0.01
I 0.3750 0.2197 0.7500  -0.01
I 0.8750 0.0303 0.7500  -0.01
Zn 0.5000 0.5000 0.0000  0.02
Zn 0.2500 0.7500 0.5000  0.02
Hf 0.0000 0.0000 0.0000  0.55
Hf 0.7500 0.2500 0.5000  0.56

Calculated values
V = 303 Å³ per cell
symmetry = I-42d (122)
DOS at the Fermi energy = 6.4 states/eV per cell

---

*2*
Density functional theory data (PBE) for HfZnI2 after structural relaxation.

Unit cell a=5.1712 b=5.1712 c=5.1712 alpha=60.00 beta=60.00 gamma=60.00
Last column: magnetic moment on the atom in μB.
Element x y z (fractional)
I 0.2500 0.2500 0.2500  -0.01
I 0.7500 0.7500 0.7500  -0.01
Zn 0.0000 0.0000 0.0000  0.02
Hf 0.5000 0.5000 0.5000  0.62

Calculated values
V = 98 Å³ per cell
symmetry = Fm-3m (225)
DOS at the Fermi energy = 4.6 states/eV per cell

---

*1* is the most stable structure; the next one sits 0.264 eV/atom above it.

---

*1*
Density functional theory data (PBE) for Hf3ZrI after structural relaxation.

Unit cell a=5.2430 b=5.2430 c=5.2430 alpha=90.00 beta=90.00 gamma=90.00
Element x y z (fractional)
I 0.5000 0.5000 0.5000
Hf 0.0000 0.5000 0.0000
Hf 0.0000 0.0000 0.5000
Hf 0.5000 0.0000 0.0000
Zr 0.0000 0.0000 0.0000

Calculated values
V = 144 Å³ per cell
symmetry = Pm-3m (221)
DOS at the Fermi energy = 7.7 states/eV per cell

---

*2*
Density functional theory data (PBE) for Hf3ZrI after structural relaxation.

Unit cell a=5.1524 b=5.1524 c=5.1524 alpha=90.00 beta=90.00 gamma=90.00
Element x y z (fractional)
I 0.0000 0.0000 0.0000
Hf 0.0000 0.5000 0.0000
Hf 0.0000 0.0000 0.5000
Hf 0.5000 0.0000 0.0000
Zr 0.5000 0.5000 0.5000

Calculated values
V = 137 Å³ per cell
symmetry = Pm-3m (221)
DOS at the Fermi energy = 5.0 states/eV per cell

---

*2* is the most stable structure; the next one sits 0.182 eV/atom above it.

---

*1*
Density functional theory data (PBE) for HfZrI2 after structural relaxation.

Unit cell a=7.9267 b=7.9267 c=6.6035 alpha=53.12 beta=53.12 gamma=90.00
Element x y z (fractional)
I 0.6276 0.1250 0.2500
I 0.1224 0.6250 0.2500
I 0.3750 0.3724 0.7500
I 0.8750 0.8776 0.7500
Hf 0.0000 0.0000 0.0000
Hf 0.7500 0.2500 0.5000
Zr 0.5000 0.5000 0.0000
Zr 0.2500 0.7500 0.5000

Calculated values
V = 219 Å³ per cell
symmetry = I-42d (122)
DOS at the Fermi energy = 10.0 states/eV per cell

---

*2*
Density functional theory data (PBE) for HfZrI2 after structural relaxation.

Unit cell a=5.0654 b=5.0654 c=5.0654 alpha=60.00 beta=60.00 gamma=60.00
Last column: magnetic moment on the atom in μB.
Element x y z (fractional)
I 0.2500 0.2500 0.2500  0.00
I 0.7500 0.7500 0.7500  0.00
Hf 0.5000 0.5000 0.5000  0.28
Zr 0.0000 0.0000 0.0000  0.24

Calculated values
V = 92 Å³ per cell
symmetry = Fm-3m (225)
DOS at the Fermi energy = 5.4 states/eV per cell

---

*2* is the most stable structure; the next one sits 0.322 eV/atom above it.